This record from Alexandria via LeMat-Bulk describes a geometry-optimized NpV2Ir structure. The functional is PBE-GGA.

It has space group P4/mmm (No. 123), with a = 2.7699 Å, b = 2.7699 Å, c = 7.9373 Å, α = 90.00°, β = 90.00° and γ = 90.00°. The asymmetric unit holds Np at (0.0000, 0.0000, 0.0000), V at (0.5000, 0.5000, 0.2762) and Ir at (0.0000, 0.0000, 0.5000).

The value obtained for the polymorph energy (0 for the lowest one) is 0.0 meV per atom. As for the calculated density: 14.48 Mg/m³. The value obtained for the formation energy is -0.06 eV per atom. Its total energy is -10.07 eV/atom.